## HfTlFeAu (PBE)

Data for an optimized crystal structure of HfTlFeAu.

```
HfTlFeAu
1.0
0.000 3.300 3.300
3.300 0.000 3.300
3.300 3.300 0.000
Fe Tl Hf Au
1 1 1 1
Direct
0.750 0.750 0.750
0.000 0.000 0.000
0.500 0.500 0.500
0.250 0.250 0.250
```

Symmetry ... No. 216
Offset from the most stable computed form ... 0 meV/atom